Entry 1:
Compound: BaZrAu2
Source: the Alexandria database
Functional: GGA-PBEsol
Structure: relaxed

Results
Raw total energy: -5.2275 eV per atom
Total moment: 0.0 μB per cell

Structure (POSCAR):
```
BaZrAu2
1.0
-0.193 -2.943 3.723
-2.209 -4.186 -0.394
4.125 -4.819 -0.566
Au Ba Zr
2 1 1
direct
0.306 0.306 0.083
0.694 0.694 0.917
0.500 0.500 0.500
0.000 0.000 0.000
```

Entry 2:
Compound: BaZr2Au
Source: the Alexandria database
Functional: GGA-PBEsol
Structure: relaxed

Results
Raw total energy: -6.2113 eV per atom
Total moment: 0.0 μB per cell

Structure (POSCAR):
```
BaZr2Au
1.0
3.389 0.000 0.000
0.000 3.389 0.000
0.000 0.000 9.106
Au Ba Zr
1 1 2
direct
0.500 0.500 0.444
0.000 0.000 0.716
0.500 0.500 0.063
0.000 0.000 0.277
```

Entry 3:
Compound: BeAu
Source: the Alexandria database
Functional: GGA-PBEsol
Structure: relaxed

Results
Raw total energy: -3.9967 eV per atom
Total moment: 0.0 μB per cell

Structure (POSCAR):
```
BeAu
1.0
3.377 0.000 0.000
-1.688 2.924 0.000
0.000 0.000 5.677
Be Au
2 2
direct
0.333 0.667 0.605
0.667 0.333 0.395
0.333 0.667 0.185
0.667 0.333 0.815
```

Entry 4:
Compound: BeAu2
Source: the Alexandria database
Functional: GGA-PBEsol
Structure: relaxed

Results
Polymorph energy (0 for the lowest one): 1.01 kcal/mol of atoms
Total moment: 0.0 μB per cell

Structure (POSCAR):
```
BeAu2
1.0
2.811 0.000 0.000
0.000 2.811 0.000
-1.405 -1.405 11.015
Be Au
2 4
direct
0.250 0.750 0.500
0.000 0.000 0.000
0.818 0.318 0.636
0.432 0.432 0.864
0.682 0.182 0.364
0.568 0.568 0.136
```

Entry 5:
Compound: BeAu2
Source: the Alexandria database
Functional: GGA-PBEsol
Structure: relaxed

Results
Polymorph energy (0 for the lowest one): 1.10 kcal/mol of atoms
Total moment: 0.0 μB per cell

Structure (POSCAR):
```
BeAu2
1.0
2.893 0.000 0.000
0.000 4.341 0.000
-1.446 0.000 6.802
Be Au
2 4
direct
0.070 0.750 0.139
0.930 0.250 0.861
0.711 0.750 0.421
0.426 0.750 0.852
0.289 0.250 0.579
0.574 0.250 0.148
```

Entry 6:
Compound: BeAu
Source: the Alexandria database
Functional: GGA-PBEsol
Structure: relaxed

Results
Raw total energy: -4.1074 eV per atom
Total moment: 0.0 μB per cell

Structure (POSCAR):
```
BeAu
1.0
-1.551 1.767 -1.644
0.819 -3.893 -2.453
-5.071 -0.973 3.741
Be Au
3 3
direct
0.335 0.671 0.641
0.972 0.943 0.403
0.265 0.529 0.076
0.950 0.901 0.985
0.691 0.382 0.333
0.620 0.240 0.729
```

Entry 7:
Compound: BeAu
Source: the Alexandria database
Functional: GGA-PBEsol
Structure: relaxed

Results
Raw total energy: -4.1656 eV per atom
Total moment: 0.0 μB per cell

Structure (POSCAR):
```
BeAu
1.0
-3.517 -1.010 2.882
-1.001 -3.772 -2.543
2.885 -2.540 2.631
Be Au
4 4
direct
0.846 0.846 0.846
0.654 0.154 0.346
0.154 0.346 0.654
0.346 0.654 0.154
0.154 0.154 0.154
0.346 0.846 0.654
0.846 0.654 0.346
0.654 0.346 0.846
```

Entry 8:
Compound: BeAu2
Source: the Alexandria database
Functional: GGA-PBEsol
Structure: relaxed

Results
Polymorph energy (0 for the lowest one): 0.44 kcal/mol of atoms
Total moment: 0.0 μB per cell

Structure (POSCAR):
```
BeAu2
1.0
3.449 0.000 0.000
0.000 6.503 0.000
0.000 -3.251 5.632
Au Be
6 3
direct
0.000 0.733 0.733
0.000 0.000 0.267
0.000 0.267 0.000
0.500 0.394 0.394
0.500 0.000 0.606
0.500 0.606 0.000
0.000 0.667 0.333
0.000 0.333 0.667
0.500 0.000 0.000
```

Repeat the seventh record exactly.
Compound: BeAu
Source: the Alexandria database
Functional: GGA-PBEsol
Structure: relaxed

Results
Raw total energy: -4.1656 eV per atom
Total moment: 0.0 μB per cell

Structure (POSCAR):
```
BeAu
1.0
-3.517 -1.010 2.882
-1.001 -3.772 -2.543
2.885 -2.540 2.631
Be Au
4 4
direct
0.846 0.846 0.846
0.654 0.154 0.346
0.154 0.346 0.654
0.346 0.654 0.154
0.154 0.154 0.154
0.346 0.846 0.654
0.846 0.654 0.346
0.654 0.346 0.846
```